[1]
Here is crystalline Pm4Tm3Cd4 at its relaxed geometry from the Alexandria database. Energies are from PBE.

Values from the calculation:
For the total magnetization, the calculation gives 0.00 Bohr magnetons per cell. As for the space group: Immm, No. 71.

a b c (Å): 5.3315 6.8235 9.8907
angles (deg): 110.18 105.64 90.00
Last column: nearest neighbours and their distance in Å.
Sites, in units of the cell vectors:
1 Cd 0.1669 0.6669 0.3338  1 Tm 2.97, 6 Pm 3.14-3.23
2 Cd 0.5000 0.7861 0.0000  1 Cd 2.92, 2 Pm 3.24
3 Cd 0.8331 0.3331 0.6662  1 Tm 2.97, 6 Pm 3.14-3.23
4 Cd 0.5000 0.2139 0.0000  1 Cd 2.92, 2 Pm 3.24
5 Pm 0.6811 0.4410 0.3623  4 Cd 3.14-3.24, 1 Pm 3.28
6 Pm 0.6811 0.9213 0.3623  4 Cd 3.14-3.24, 1 Pm 3.28
7 Pm 0.3189 0.5590 0.6377  4 Cd 3.14-3.24, 1 Pm 3.28
8 Pm 0.3189 0.0787 0.6377  4 Cd 3.14-3.24, 1 Pm 3.28
9 Tm 0.0000 0.5000 0.0000  6 Cd 2.97-3.30
10 Tm 0.9045 0.9045 0.8090  1 Tm 3.40, 6 Cd 3.48-3.64, 4 Pm 3.55
11 Tm 0.0955 0.0955 0.1910  1 Tm 3.40, 6 Cd 3.48-3.64, 4 Pm 3.55



[2]
Here is crystalline SiAu at its relaxed geometry from the Alexandria database. Energies are from PBE.

Values from the calculation:
For the total magnetization, the calculation gives 0.00 Bohr magnetons per cell. As for the space group: P6_3/m, No. 176.

a b c (Å): 9.8054 9.8054 3.7012
angles (deg): 90.00 90.00 120.00
Last column: nearest neighbours and their distance in Å.
Sites, in units of the cell vectors:
1 Si 0.6033 0.0194 0.2500  4 Au 2.41-2.58, 2 Si 2.63
2 Si 0.4161 0.3967 0.2500  4 Au 2.41-2.58, 2 Si 2.63
3 Si 0.5839 0.6033 0.7500  4 Au 2.41-2.58, 2 Si 2.63
4 Si 0.3967 0.9806 0.7500  4 Au 2.41-2.58, 2 Si 2.63
5 Si 0.0194 0.4161 0.7500  4 Au 2.41-2.58, 2 Si 2.63
6 Si 0.9806 0.5839 0.2500  4 Au 2.41-2.58, 2 Si 2.63
7 Au 0.1695 0.7202 0.7500  4 Si 2.41-2.58
8 Au 0.7202 0.5507 0.2500  4 Si 2.41-2.58
9 Au 0.5507 0.8305 0.7500  4 Si 2.41-2.58
10 Au 0.2798 0.4493 0.7500  4 Si 2.41-2.58
11 Au 0.8305 0.2798 0.2500  4 Si 2.41-2.58
12 Au 0.4493 0.1695 0.2500  4 Si 2.41-2.58



[3]
Here is crystalline PRuSeN at its relaxed geometry from the Alexandria database. Energies are from PBE.

Values from the calculation:
For the total magnetization, the calculation gives 0.00 Bohr magnetons per cell. For the polymorph energy (0 for the lowest one), the calculation gives 227 meV per atom. As for the space group: P1, No. 1.

a b c (Å): 3.7496 3.7582 5.3158
angles (deg): 91.24 106.09 103.90
Last column: nearest neighbours and their distance in Å.
Sites, in units of the cell vectors:
1 N 0.1695 0.1854 0.5453  1 P 1.69
2 Ru 0.7208 0.3377 0.6261  2 N 1.93-2.05
3 Se 0.9274 0.8681 0.9714  1 P 2.34, 1 Ru 2.50
4 P 0.7892 0.8452 0.3751  1 N 1.69



[4]
Here is crystalline AcGeSe2 at its relaxed geometry from the Alexandria database. Energies are from PBE.

Values from the calculation:
For the total magnetization, the calculation gives 0.00 Bohr magnetons per cell. For the polymorph energy (0 for the lowest one), the calculation gives 168 meV per atom. As for the space group: P4/mmm, No. 123.

a b c (Å): 3.8487 3.8487 6.9252
angles (deg): 90.00 90.00 90.00
Last column: nearest neighbours and their distance in Å.
Sites, in units of the cell vectors:
1 Ac 0.5000 0.5000 0.5000  8 Se 3.24, 2 Ge 3.46
2 Se 0.0000 0.0000 0.7548  4 Ge 3.21, 4 Ac 3.24, 2 Se 3.40-3.53
3 Se 0.0000 0.0000 0.2452  4 Ge 3.21, 4 Ac 3.24, 2 Se 3.40-3.53
4 Ge 0.5000 0.5000 0.0000  8 Se 3.21, 2 Ac 3.46



[5]
Here is crystalline TaMn2Pd9 at its relaxed geometry from the Alexandria database. Energies are from PBE.

Values from the calculation:
For the total magnetization, the calculation gives 8.25 Bohr magnetons per cell. As for the space group: P4/mmm, No. 123.

a b c (Å): 3.9446 3.9446 11.7797
angles (deg): 90.00 90.00 90.00
Last column: nearest neighbours and their distance in Å.
Sites, in units of the cell vectors:
1 Mn 0.0000 0.0000 0.3396  12 Pd 2.73-2.86
2 Mn 0.0000 0.0000 0.6604  12 Pd 2.73-2.86
3 Pd 0.5000 0.5000 0.0000  8 Pd 2.76, 4 Ta 2.79
4 Pd 0.5000 0.5000 0.3318  4 Mn 2.79, 8 Pd 2.79-2.80
5 Pd 0.5000 0.5000 0.6682  4 Mn 2.79, 8 Pd 2.79-2.80
6 Pd 0.5000 0.0000 0.8359  2 Ta 2.76, 8 Pd 2.76-2.79, 2 Mn 2.86
7 Pd 0.0000 0.5000 0.8359  2 Ta 2.76, 8 Pd 2.76-2.79, 2 Mn 2.86
8 Pd 0.5000 0.0000 0.1641  8 Pd 2.76-2.79, 2 Ta 2.76, 2 Mn 2.86
9 Pd 0.5000 0.0000 0.5000  4 Mn 2.73, 8 Pd 2.79-2.80
10 Pd 0.0000 0.5000 0.1641  8 Pd 2.76-2.79, 2 Ta 2.76, 2 Mn 2.86
11 Pd 0.0000 0.5000 0.5000  4 Mn 2.73, 8 Pd 2.79-2.80
12 Ta 0.0000 0.0000 0.0000  12 Pd 2.76-2.79



[6]
Here is crystalline KHfTl2Cl8 at its relaxed geometry from the Alexandria database. Energies are from PBE.

Values from the calculation:
For the total magnetization, the calculation gives 0.00 Bohr magnetons per cell. As for the space group: P-1, No. 2.

a b c (Å): 6.9109 6.5792 8.9420
angles (deg): 89.89 90.00 89.96
Last column: nearest neighbours and their distance in Å.
Sites, in units of the cell vectors:
1 Cl 0.7009 0.7961 0.9994  1 Hf 2.46
2 Cl 0.2991 0.2039 0.0006  1 Hf 2.46
3 Cl 0.1346 0.7792 0.8030  1 Hf 2.47
4 Cl 0.6446 0.7156 0.5000  2 Tl 2.84, 1 K 3.09
5 Cl 0.1333 0.7783 0.1977  1 Hf 2.47
6 Cl 0.8654 0.2208 0.1970  1 Hf 2.47
7 Cl 0.8667 0.2217 0.8023  1 Hf 2.47
8 Cl 0.3554 0.2844 0.5000  2 Tl 2.84, 1 K 3.09
9 Tl 0.4999 0.4993 0.7512  4 Cl 2.84-3.16
10 Tl 0.5001 0.5007 0.2488  4 Cl 2.84-3.16
11 Hf 0.0000 0.0000 0.0000  6 Cl 2.46-2.47
12 K 0.0000 0.0000 0.5000  6 Cl 3.09-3.21



[7]
Here is crystalline Nd3Ho2ScSe6 at its relaxed geometry from the Alexandria database. Energies are from PBE.

Values from the calculation:
For the total magnetization, the calculation gives 0.00 Bohr magnetons per cell. As for the space group: C2/m, No. 12.

a b c (Å): 4.0668 8.3461 9.2582
angles (deg): 104.77 102.69 90.00
Last column: nearest neighbours and their distance in Å.
Sites, in units of the cell vectors:
1 Se 0.3414 0.9100 0.6828  1 Sc 2.77, 2 Ho 2.84, 3 Nd 2.98-3.02
2 Se 0.6705 0.5741 0.3410  3 Ho 2.85-2.86, 3 Nd 2.98-2.99
3 Se 0.9980 0.7687 0.9961  2 Sc 2.80, 1 Ho 2.85, 3 Nd 2.99-3.03
4 Se 0.0020 0.2313 0.0039  2 Sc 2.80, 1 Ho 2.85, 3 Nd 2.99-3.03
5 Se 0.3295 0.4259 0.6590  3 Ho 2.85-2.86, 3 Nd 2.98-2.99
6 Se 0.6586 0.0900 0.3172  1 Sc 2.77, 2 Ho 2.84, 3 Nd 2.98-3.02
7 Ho 0.8345 0.6684 0.6690  6 Se 2.84-2.86
8 Ho 0.1655 0.3316 0.3310  6 Se 2.84-2.86
9 Nd 0.1687 0.8355 0.3375  6 Se 2.98-3.02
10 Nd 0.8313 0.1645 0.6625  6 Se 2.98-3.02
11 Nd 0.5000 0.5000 0.0000  6 Se 2.98-3.03
12 Sc 0.5000 0.0000 0.0000  6 Se 2.77-2.80



[8]
Here is crystalline Ca3ZnCr at its relaxed geometry from the Alexandria database. Energies are from PBE.

Values from the calculation:
For the total magnetization, the calculation gives 4.66 Bohr magnetons per cell. For the polymorph energy (0 for the lowest one), the calculation gives 0 meV per atom. As for the space group: Pm-3m, No. 221.

a b c (Å): 5.6450 5.6450 5.6450
angles (deg): 90.00 90.00 90.00
Last column: nearest neighbours and their distance in Å.
Sites, in units of the cell vectors:
1 Zn 0.0000 0.0000 0.0000  6 Ca 2.82
2 Ca 0.5000 0.0000 0.0000  2 Zn 2.82
3 Ca 0.0000 0.5000 0.0000  2 Zn 2.82
4 Ca 0.0000 0.0000 0.5000  2 Zn 2.82
5 Cr 0.5000 0.5000 0.5000  12 Ca 3.99



[9]
Here is crystalline Mg3Se2 at its relaxed geometry from the Alexandria database. Energies are from PBE.

Values from the calculation:
For the total magnetization, the calculation gives 0.00 Bohr magnetons per cell. For the polymorph energy (0 for the lowest one), the calculation gives 0 meV per atom. As for the space group: R-3m, No. 166.

a b c (Å): 9.1422 9.1422 9.1422
angles (deg): 24.29 24.29 24.29
Last column: nearest neighbours and their distance in Å.
Sites, in units of the cell vectors:
1 Mg 0.0000 0.0000 0.0000  6 Se 2.74
2 Mg 0.2131 0.2131 0.2131  3 Se 2.73
3 Mg 0.7869 0.7869 0.7869  3 Se 2.73
4 Se 0.3938 0.3938 0.3938  6 Mg 2.73-2.74
5 Se 0.6062 0.6062 0.6062  6 Mg 2.73-2.74



[10]
Here is crystalline Cd2SeCl at its relaxed geometry from the Alexandria database. Energies are from PBE.

Values from the calculation:
For the total magnetization, the calculation gives 0.00 Bohr magnetons per cell. For the polymorph energy (0 for the lowest one), the calculation gives 180 meV per atom. As for the space group: Pmmm, No. 47.

a b c (Å): 4.0803 6.5567 3.8214
angles (deg): 90.00 90.00 90.00
Last column: nearest neighbours and their distance in Å.
Sites, in units of the cell vectors:
1 Cd 0.0000 0.0000 0.0000  4 Cl 2.80
2 Cd 0.5000 0.5000 0.0000  4 Se 2.80
3 Cl 0.5000 0.0000 0.5000  4 Cd 2.80
4 Se 0.0000 0.5000 0.5000  4 Cd 2.80



[11]
Here is crystalline K2CdSb2 at its relaxed geometry from the Alexandria database. Energies are from PBE.

Values from the calculation:
For the total magnetization, the calculation gives 0.00 Bohr magnetons per cell. For the polymorph energy (0 for the lowest one), the calculation gives 340 meV per atom. As for the space group: I4/mmm, No. 139.

a b c (Å): 6.8249 6.8249 6.8202
angles (deg): 59.98 59.98 90.00
Last column: nearest neighbours and their distance in Å.
Sites, in units of the cell vectors:
1 Cd 0.0000 0.0000 0.0000  2 Sb 3.46
2 K 0.7500 0.2500 0.5000  4 Sb 3.57
3 K 0.2500 0.7500 0.5000  4 Sb 3.57
4 Sb 0.3586 0.3586 0.2828  1 Sb 2.73
5 Sb 0.6414 0.6414 0.7172  1 Sb 2.73



[12]
Here is crystalline Ac2GaTe4 at its relaxed geometry from the Alexandria database. Energies are from PBE.

Values from the calculation:
For the total magnetization, the calculation gives 0.00 Bohr magnetons per cell. As for the space group: P2_1/m, No. 11.

a b c (Å): 7.4087 7.4263 9.2640
angles (deg): 90.00 107.74 90.00
Last column: nearest neighbours and their distance in Å.
Sites, in units of the cell vectors:
1 Ac 0.7196 0.7500 0.5480  6 Te 3.29-3.42
2 Ac 0.7644 0.7500 0.0711  1 Ga 3.28, 6 Te 3.44-3.50
3 Ac 0.2356 0.2500 0.9289  1 Ga 3.28, 6 Te 3.44-3.50
4 Ac 0.2804 0.2500 0.4520  6 Te 3.29-3.42
5 Te 0.5041 0.5063 0.7613  1 Ga 2.68
6 Te 0.4959 0.0063 0.2387  1 Ga 2.68
7 Te 0.4959 0.4937 0.2387  1 Ga 2.68
8 Te 0.9010 0.2500 0.5689  1 Ga 2.78
9 Te 0.9220 0.2500 0.1375  1 Ga 2.81
10 Te 0.0780 0.7500 0.8625  1 Ga 2.81
11 Te 0.5041 0.9937 0.7613  1 Ga 2.68
12 Te 0.0990 0.7500 0.4311  1 Ga 2.78
13 Ga 0.2289 0.7500 0.1798  4 Te 2.68-2.81
14 Ga 0.7711 0.2500 0.8202  4 Te 2.68-2.81



| no. | raw total energy (eV/f.u.) |
| --- | --- |
| 1 | -36.698 |
| 2 | -8.397 |
| 3 | -25.892 |
| 4 | -19.038 |
| 5 | -81.016 |
| 6 | -47.693 |
| 7 | -71.770 |
| 8 | -14.575 |
| 9 | -16.217 |
| 10 | -8.487 |
| 11 | -11.590 |
| 12 | -31.548 |